CaSc2In | GGA-PBE | relaxed

Summary:
Crystal system: cubic
Size of the total moment in μB/f.u.: 0.8
Volume in Å³/atom: 25.928
Energy in eV per atom: -4.41

Cell: 7.458 7.458 7.458 Å, 90.00 90.00 90.00°
Space group F-43m (No. 216)
Asymmetric unit:
Ca (0.000, 0.000, 0.000) x4
Sc (0.000, 0.000, 0.500) x4
Sc (0.250, 0.250, 0.750) x4
In (0.250, 0.250, 0.250) x4